(1)
# PBE Li2Tb2SmPb2, relaxed
data_Li2Tb2SmPb2
_chemical_formula_sum 'Li2 Tb2 Sm1 Pb2'
_cell_length_a 4.860
_cell_length_b 4.860
_cell_length_c 9.454
_cell_angle_alpha 75.11
_cell_angle_beta 75.11
_cell_angle_gamma 60.00
_symmetry_space_group_name_H-M 'P 1'
_symmetry_Int_Tables_number 1
loop_
_symmetry_equiv_pos_as_xyz
'x,y,z'
loop_
_atom_site_label
_atom_site_type_symbol
_atom_site_fract_x
_atom_site_fract_y
_atom_site_fract_z
Li1 Li 0.593 0.593 0.221
Li2 Li 0.407 0.407 0.779
Tb1 Tb 0.130 0.130 0.611
Tb2 Tb 0.870 0.870 0.389
Sm1 Sm 0.000 0.000 0.000
Pb1 Pb 0.737 0.737 0.789
Pb2 Pb 0.263 0.263 0.211
# Space group: R-3m
# Energy of formation (eV/f.u.): -2.3

(2)
# PBE Li2TbSm2Pb2, relaxed
data_Li2TbSm2Pb2
_chemical_formula_sum 'Li2 Tb1 Sm2 Pb2'
_cell_length_a 4.850
_cell_length_b 4.850
_cell_length_c 9.563
_cell_angle_alpha 75.31
_cell_angle_beta 75.31
_cell_angle_gamma 60.00
_symmetry_space_group_name_H-M 'P 1'
_symmetry_Int_Tables_number 1
loop_
_symmetry_equiv_pos_as_xyz
'x,y,z'
loop_
_atom_site_label
_atom_site_type_symbol
_atom_site_fract_x
_atom_site_fract_y
_atom_site_fract_z
Li1 Li 0.601 0.601 0.197
Li2 Li 0.399 0.399 0.803
Tb1 Tb 0.000 0.000 0.000
Sm1 Sm 0.128 0.128 0.615
Sm2 Sm 0.872 0.872 0.385
Pb1 Pb 0.734 0.734 0.798
Pb2 Pb 0.266 0.266 0.202
# Space group: R-3m
# Energy of formation (eV/f.u.): -2.3

(3)
# PBE LiTbSmPb, relaxed
data_LiTbSmPb
_chemical_formula_sum 'Li1 Tb1 Sm1 Pb1'
_cell_length_a 5.342
_cell_length_b 5.342
_cell_length_c 5.342
_cell_angle_alpha 60.00
_cell_angle_beta 60.00
_cell_angle_gamma 60.00
_symmetry_space_group_name_H-M 'P 1'
_symmetry_Int_Tables_number 1
loop_
_symmetry_equiv_pos_as_xyz
'x,y,z'
loop_
_atom_site_label
_atom_site_type_symbol
_atom_site_fract_x
_atom_site_fract_y
_atom_site_fract_z
Pb1 Pb 0.500 0.500 0.500
Tb1 Tb 0.750 0.750 0.750
Sm1 Sm 0.250 0.250 0.250
Li1 Li 0.000 0.000 0.000
# Space group: F-43m
# Energy of formation (eV/f.u.): -1.2

(4)
# PBE LiSm2Te6Pb3, relaxed
data_LiSm2Te6Pb3
_chemical_formula_sum 'Li1 Sm2 Te6 Pb3'
_cell_length_a 4.484
_cell_length_b 9.196
_cell_length_c 10.230
_cell_angle_alpha 104.34
_cell_angle_beta 102.66
_cell_angle_gamma 90.00
_symmetry_space_group_name_H-M 'P 1'
_symmetry_Int_Tables_number 1
loop_
_symmetry_equiv_pos_as_xyz
'x,y,z'
loop_
_atom_site_label
_atom_site_type_symbol
_atom_site_fract_x
_atom_site_fract_y
_atom_site_fract_z
Li1 Li 0.500 0.000 0.000
Sm1 Sm 0.834 0.657 0.668
Sm2 Sm 0.166 0.343 0.332
Te1 Te 0.332 0.900 0.663
Te2 Te 0.670 0.588 0.340
Te3 Te 0.668 0.100 0.337
Te4 Te 0.005 0.239 0.010
Te5 Te 0.995 0.761 0.990
Te6 Te 0.330 0.412 0.660
Pb1 Pb 0.500 0.500 0.000
Pb2 Pb 0.841 0.151 0.681
Pb3 Pb 0.159 0.849 0.319
# Space group: C2/m
# Electronic total energy (eV/atom): -4.249

(5)
# PBE LiSmTe4Pb2, relaxed
data_LiSmTe4Pb2
_chemical_formula_sum 'Li1 Sm1 Te4 Pb2'
_cell_length_a 4.523
_cell_length_b 7.762
_cell_length_c 7.898
_cell_angle_alpha 108.95
_cell_angle_beta 90.00
_cell_angle_gamma 90.00
_symmetry_space_group_name_H-M 'P 1'
_symmetry_Int_Tables_number 1
loop_
_symmetry_equiv_pos_as_xyz
'x,y,z'
loop_
_atom_site_label
_atom_site_type_symbol
_atom_site_fract_x
_atom_site_fract_y
_atom_site_fract_z
Li1 Li 0.500 0.500 0.000
Sm1 Sm 0.000 0.000 0.000
Te1 Te 0.500 0.249 0.235
Te2 Te 0.500 0.751 0.765
Te3 Te 0.000 0.257 0.768
Te4 Te 0.000 0.743 0.232
Pb1 Pb 0.500 0.000 0.500
Pb2 Pb 0.000 0.500 0.500
# Space group: P2/m
# Electronic total energy (eV/atom): -4.142

(6)
# PBE LiSm2Te4Pb, relaxed
data_LiSm2Te4Pb
_chemical_formula_sum 'Li1 Sm2 Te4 Pb1'
_cell_length_a 4.434
_cell_length_b 7.927
_cell_length_c 7.645
_cell_angle_alpha 71.32
_cell_angle_beta 90.00
_cell_angle_gamma 90.00
_symmetry_space_group_name_H-M 'P 1'
_symmetry_Int_Tables_number 1
loop_
_symmetry_equiv_pos_as_xyz
'x,y,z'
loop_
_atom_site_label
_atom_site_type_symbol
_atom_site_fract_x
_atom_site_fract_y
_atom_site_fract_z
Li1 Li 0.000 0.500 0.500
Sm1 Sm 0.000 0.000 0.000
Sm2 Sm 0.500 0.000 0.500
Te1 Te 0.000 0.750 0.740
Te2 Te 0.000 0.250 0.260
Te3 Te 0.500 0.749 0.257
Te4 Te 0.500 0.251 0.743
Pb1 Pb 0.500 0.500 0.000
# Space group: P2/m
# Electronic total energy (eV/atom): -4.509

(7)
# PBE LiSmTmPb, relaxed
data_LiSmTmPb
_chemical_formula_sum 'Li1 Sm1 Tm1 Pb1'
_cell_length_a 5.307
_cell_length_b 5.307
_cell_length_c 5.307
_cell_angle_alpha 60.00
_cell_angle_beta 60.00
_cell_angle_gamma 60.00
_symmetry_space_group_name_H-M 'P 1'
_symmetry_Int_Tables_number 1
loop_
_symmetry_equiv_pos_as_xyz
'x,y,z'
loop_
_atom_site_label
_atom_site_type_symbol
_atom_site_fract_x
_atom_site_fract_y
_atom_site_fract_z
Pb1 Pb 0.500 0.500 0.500
Tm1 Tm 0.750 0.750 0.750
Sm1 Sm 0.250 0.250 0.250
Li1 Li 0.000 0.000 0.000
# Space group: F-43m
# Energy of formation (eV/f.u.): -1.0

(8)
# PBE Li2Sm2TmPb2, relaxed
data_Li2Sm2TmPb2
_chemical_formula_sum 'Li2 Sm2 Tm1 Pb2'
_cell_length_a 4.832
_cell_length_b 4.832
_cell_length_c 9.513
_cell_angle_alpha 75.29
_cell_angle_beta 75.29
_cell_angle_gamma 60.00
_symmetry_space_group_name_H-M 'P 1'
_symmetry_Int_Tables_number 1
loop_
_symmetry_equiv_pos_as_xyz
'x,y,z'
loop_
_atom_site_label
_atom_site_type_symbol
_atom_site_fract_x
_atom_site_fract_y
_atom_site_fract_z
Li1 Li 0.605 0.605 0.185
Li2 Li 0.395 0.395 0.815
Sm1 Sm 0.128 0.128 0.617
Sm2 Sm 0.872 0.872 0.383
Tm1 Tm 0.000 0.000 0.000
Pb1 Pb 0.733 0.733 0.802
Pb2 Pb 0.267 0.267 0.198
# Space group: R-3m
# Energy of formation (eV/f.u.): -2.1